[1]
{
  "formula": "AlGaS3",
  "functional": "PBE",
  "state": "relaxed",
  "m_tot_mub_per_cell": 0.000,
  "space_group": "Pm-3m, No. 221",
  "formation_energy_uncorrected_ev_per_atom": -0.11,
  "lattice": [[-4.182, -1.343, -1.604], [0.543, -4.159, 2.066], [-2.021, 1.662, 3.876]],
  "species": ["S", "S", "S", "Al", "Ga"],
  "fractional_positions": [[0.000, 0.500, 0.000], [0.000, 0.000, 0.500], [0.500, 0.000, 0.000], [0.000, 0.000, 0.000], [0.500, 0.500, 0.500]]
}

=====

[2]
{
  "formula": "Ba2Ge2Mo",
  "functional": "PBE",
  "state": "relaxed",
  "m_tot_mub_per_cell": 4.475,
  "space_group": "P4/mbm, No. 127",
  "de_polymorph_mev_per_atom": 0.0,
  "delta_e_f_ev_per_atom": 0.10,
  "lattice": [[-6.495, 3.326, -0.248], [-1.315, -2.054, 6.882], [2.225, 4.476, 1.761]],
  "species": ["Mo", "Mo", "Ge", "Ge", "Ge", "Ge", "Ba", "Ba", "Ba", "Ba"],
  "fractional_positions": [[0.000, 0.000, 0.000], [0.500, 0.500, 0.000], [0.372, 0.872, 0.000], [0.872, 0.628, 0.000], [0.628, 0.128, 0.000], [0.128, 0.372, 0.000], [0.180, 0.680, 0.500], [0.680, 0.820, 0.500], [0.820, 0.320, 0.500], [0.320, 0.180, 0.500]]
}

=====

[3]
{
  "formula": "Y2ReBr",
  "functional": "PBE",
  "state": "relaxed",
  "m_tot_mub_per_cell": 0.000,
  "space_group": "P2/m, No. 10",
  "de_polymorph_mev_per_atom": 0.0,
  "formation_energy_uncorrected_ev_per_atom": -0.48,
  "lattice": [[-3.285, 0.141, -1.124], [-1.131, -1.064, 3.172], [-0.534, 7.876, 2.550]],
  "species": ["Y", "Y", "Re", "Br"],
  "fractional_positions": [[0.000, 0.243, 0.948], [0.000, 0.257, 0.552], [0.500, 0.750, 0.750], [0.500, 0.250, 0.250]]
}

=====

[4]
{
  "formula": "SiIrSe2",
  "functional": "PBE",
  "state": "relaxed",
  "m_tot_mub_per_cell": 0.000,
  "space_group": "C2/m, No. 12",
  "formation_energy_uncorrected_ev_per_atom": -0.10,
  "lattice": [[-5.714, 2.304, -3.243], [-6.835, -0.053, 1.196], [6.462, 1.123, 2.262]],
  "species": ["Ir", "Se", "Se", "Si"],
  "fractional_positions": [[0.250, 0.750, 0.500], [0.097, 0.109, 0.987], [0.403, 0.391, 0.013], [0.750, 0.250, 0.500]]
}

=====

[5]
{
  "formula": "Cs2TaBeSi",
  "functional": "PBE",
  "state": "relaxed",
  "m_tot_mub_per_cell": 0.002,
  "space_group": "P4/mmm, No. 123",
  "formation_energy_uncorrected_ev_per_atom": 1.83,
  "lattice": [[-6.256, 1.170, -1.631], [-1.328, -1.194, 4.235], [0.654, 6.236, 1.963]],
  "species": ["Cs", "Cs", "Be", "Si", "Ta"],
  "fractional_positions": [[0.000, 0.000, 0.500], [0.500, 0.000, 0.000], [0.000, 0.000, 0.000], [0.500, 0.500, 0.500], [0.000, 0.500, 0.000]]
}

=====

[6]
{
  "formula": "Ce2Ge3AsIr4",
  "functional": "PBE",
  "state": "relaxed",
  "m_tot_mub_per_cell": 1.208,
  "space_group": "P-4m2, No. 115",
  "delta_e_f_ev_per_atom": -0.78,
  "lattice": [[4.288, 0.000, 0.000], [0.000, 4.288, 0.000], [0.000, 0.000, 10.051]],
  "species": ["Ce", "Ce", "Ge", "Ge", "Ge", "As", "Ir", "Ir", "Ir", "Ir"],
  "fractional_positions": [[0.500, 0.000, 0.254], [0.000, 0.500, 0.746], [0.000, 0.000, 0.500], [0.500, 0.000, 0.867], [0.000, 0.500, 0.133], [0.500, 0.500, 0.500], [0.500, 0.500, 0.000], [0.000, 0.000, 0.000], [0.500, 0.000, 0.624], [0.000, 0.500, 0.376]]
}